Below is crystalline HoTh2Bi2As2 at its relaxed geometry, with properties calculated at the PBE level.

Cell lengths 5.235, 5.235, 8.823 Å; angles 107.26, 107.26, 90.00 degrees
Fractional positions:
Bi1 0.805 0.805 0.610
Bi2 0.195 0.195 0.390
Th1 0.608 0.608 0.216
Th2 0.392 0.392 0.784
Ho1 0.000 0.000 0.000
As1 0.500 0.000 0.000
As2 0.000 0.500 0.000

## Properties
The calculation puts the volume at 31.35 Å³/atom. As for the density of states at the Fermi level: 0.6583 states/eV/atom. The value obtained for the mass density is 9.06 Mg/m³. Its crystal system is tetragonal. The value obtained for the magnetization is 0.0 Bohr magnetons per cell. The total energy comes out at -40.914 eV for the cell shown. The space-group type is I4/mmm (139). For the formation energy from the elements, the calculation gives -0.63 eV/atom.